Here is a relaxed structure of YCrSe4 from Alexandria via LeMat-Bulk. Energies are from PBE-GGA.

a b c (Å): 8.176 8.176 8.176
angles (deg): 90.00 90.00 90.00
Space group F-43m (No. 216)
Unique sites:
Y1 0.000 0.000 0.000 x4
Cr1 0.250 0.250 0.750 x4
Se1 0.125 0.125 0.375 x16

magnetic moment = 21.4 μB per cell
total energy = -4.77 eV per atom
volume = 22.8 Å³/atom

Here is a relaxed structure of TmSc3Co2 from Alexandria via LeMat-Bulk. Energies are from PBE-GGA.

a b c (Å): 14.316 4.625 7.534
angles (deg): 90.00 112.59 90.00
Space group C2/m (No. 12)
Unique sites:
Tm1 0.132 0.000 0.217 x4
Sc1 0.069 0.000 0.728 x4
Sc2 0.129 0.500 0.513 x4
Sc3 0.184 0.500 0.982 x4
Co1 0.002 0.500 0.156 x4
Co2 0.229 0.000 0.636 x4

magnetic moment = 0.0 μB per cell
ΔH_f (0 K) = -181 meV/atom
total energy = -6.46 eV per atom
volume = 19.2 Å³/atom

Here is a relaxed structure of Mg4Hg2Sb from Alexandria via LeMat-Bulk. Energies are from PBE-GGA.

a b c (Å): 7.126 7.126 6.668
angles (deg): 90.00 90.00 90.00
Space group I4/mmm (No. 139)
Unique sites:
Mg1 0.250 0.250 0.250 x8
Hg1 0.000 0.500 0.000 x4
Sb1 0.000 0.000 0.000 x2

magnetic moment = 0.0 μB per cell
total energy = -1.74 eV per atom
volume = 24.2 Å³/atom

Here is a relaxed structure of MgTiN from Alexandria via LeMat-Bulk. Energies are from PBE-GGA.

a b c (Å): 10.036 3.099 5.336
angles (deg): 90.00 100.21 90.00
Space group C2/m (No. 12)
Unique sites:
Mg1 0.124 0.000 0.372 x4
Ti1 0.136 0.500 0.889 x4
N1 0.231 0.000 0.761 x4

magnetic moment = 0.0 μB per cell
total energy = -6.75 eV per atom
volume = 13.6 Å³/atom

Here is a relaxed structure of Sr2LiAl3Ga4 from Alexandria via LeMat-Bulk. Energies are from PBE-GGA.

a b c (Å): 4.431 4.431 11.087
angles (deg): 90.00 90.00 90.00
Space group P-4m2 (No. 115)
Unique sites:
Sr1 0.000 0.500 0.248 x2
Li1 0.000 0.000 0.500 x1
Al1 0.000 0.500 0.865 x2
Al2 0.500 0.500 0.500 x1
Ga1 0.000 0.000 0.000 x1
Ga2 0.000 0.500 0.633 x2
Ga3 0.500 0.500 0.000 x1

magnetic moment = 0.0 μB per cell
ΔH_f (0 K) = -360 meV/atom
total energy = -3.22 eV per atom
volume = 21.8 Å³/atom

Here is a relaxed structure of TbCe2SmSb5 from Alexandria via LeMat-Bulk. Energies are from PBE-GGA.

a b c (Å): 5.316 5.316 11.687
angles (deg): 90.00 90.00 90.00
Space group P4/mmm (No. 123)
Unique sites:
Tb1 0.000 0.000 0.000 x1
Ce1 0.500 0.500 0.214 x2
Sm1 0.000 0.000 0.500 x1
Sb1 0.000 0.000 0.251 x2
Sb2 0.000 0.500 0.000 x2
Sb3 0.500 0.500 0.500 x1

magnetic moment = 1.7 μB per cell
total energy = -4.93 eV per atom
volume = 36.7 Å³/atom

Here is a relaxed structure of LiPm2Hg2 from Alexandria via LeMat-Bulk. Energies are from PBE-GGA.

a b c (Å): 6.584 13.273 6.263
angles (deg): 90.00 90.00 90.00
Space group Ibam (No. 72)
Unique sites:
Li1 0.000 0.000 0.250 x4
Pm1 0.189 0.352 0.000 x8
Hg1 0.215 0.117 0.000 x8

magnetic moment = 0.0 μB per cell
ΔH_f (0 K) = -253 meV/atom
total energy = -2.66 eV per atom
volume = 27.4 Å³/atom

Here is a relaxed structure of ZnP3H12 from Alexandria via LeMat-Bulk. Energies are from PBE-GGA.

a b c (Å): 9.1723 9.1723 20.7580
angles (deg): 90.00 90.00 120.00
Space group R3c (No. 161, hexagonal axes)
Unique sites:
Zn1 0.0000 0.0000 0.0000 x6
P1 0.1573 0.3543 0.2916 x18
H1 0.0253 0.2742 0.2261 x18
H2 0.0333 0.4039 0.4291 x18
H3 0.0550 0.1968 0.3232 x18
H4 0.1272 0.4160 0.8573 x18

magnetic moment = 0.0 μB per cell
total energy = -3.44 eV per atom
volume = 15.8 Å³/atom

Here is a relaxed structure of Sm2MnTl3Te6 from Alexandria via LeMat-Bulk. Energies are from PBE-GGA.

a b c (Å): 7.669 13.249 8.413
angles (deg): 90.00 108.02 90.00
Space group C2/m (No. 12)
Unique sites:
Sm1 0.000 0.164 0.000 x4
Mn1 0.000 0.500 0.000 x2
Tl1 0.000 0.000 0.500 x2
Tl2 0.000 0.321 0.500 x4
Te1 0.221 0.346 0.206 x8
Te2 0.239 0.500 0.778 x4

magnetic moment = 8.5 μB per cell
total energy = -4.45 eV per atom
volume = 33.9 Å³/atom

Here is a relaxed structure of CsYMg6 from Alexandria via LeMat-Bulk. Energies are from PBE-GGA.

a b c (Å): 5.475 7.336 11.670
angles (deg): 90.00 90.00 90.00
Space group Amm2 (No. 38)
Unique sites:
Cs1 0.000 0.000 0.000 x2
Y1 0.500 0.000 0.787 x2
Mg1 0.000 0.000 0.447 x2
Mg2 0.000 0.217 0.724 x4
Mg3 0.500 0.000 0.276 x2
Mg4 0.500 0.208 0.538 x4

magnetic moment = 0.0 μB per cell
ΔH_f (0 K) = 260 meV/atom
total energy = -1.85 eV per atom
volume = 29.3 Å³/atom

Here is a relaxed structure of V2BiIrCl from Alexandria via LeMat-Bulk. Energies are from PBE-GGA.

a b c (Å): 4.899 4.899 4.703
angles (deg): 90.00 90.00 90.00
Space group P4/mmm (No. 123)
Unique sites:
V1 0.000 0.500 0.000 x2
Bi1 0.000 0.000 0.500 x1
Ir1 0.500 0.500 0.000 x1
Cl1 0.500 0.500 0.500 x1

magnetic moment = 4.4 μB per cell
total energy = -5.78 eV per atom
volume = 22.6 Å³/atom

Here is a relaxed structure of PHOsO from Alexandria via LeMat-Bulk. Energies are from PBE-GGA.

a b c (Å): 3.170 3.400 5.314
angles (deg): 87.64 73.67 89.38
Space group P1 (No. 1)
Unique sites:
P1 0.000 0.000 0.000 x1
H1 0.429 0.499 0.352 x1
Os1 0.363 0.000 0.290 x1
O1 0.135 0.980 0.704 x1

magnetic moment = 0.0 μB per cell
total energy = -6.62 eV per atom
volume = 13.7 Å³/atom

Q: Look up the total energy of the fifth one.
A: -3.22 eV per atom

Q: Which value of volume does entry 11 give?
A: 22.6 Å³/atom

Q: Among the records above, which one has the highest magnetic moment?
A: YCrSe4

Q: What is the total energy in the fifth record?
A: -3.22 eV per atom